# Tm2CoC4 PBE-GGA optimized geometry
# DOS(E_F)   3.26 states/eV/f.u.
# Electronic total energy   -7.8620 eV per atom
# Total magnetic moment   0.365 μB/f.u.
# Calculated density   8.5 g/cm3
# Space group   No. 72
data_Tm2CoC4
_cell_length_a 4.990
_cell_length_b 6.494
_cell_length_c 6.494
_cell_angle_alpha 69.78
_cell_angle_beta 67.41
_cell_angle_gamma 67.41
_space_group_name_H-M_alt 'P 1'
_space_group_IT_number 1
loop_
_space_group_symop_operation_xyz
'x,y,z'
loop_
_atom_site_label
_atom_site_type_symbol
_atom_site_fract_x
_atom_site_fract_y
_atom_site_fract_z
C1 C 0.372 0.471 0.785
C2 C 0.079 0.092 0.750
C3 C 0.628 0.529 0.215
C4 C 0.872 0.785 0.471
C5 C 0.921 0.908 0.250
C6 C 0.128 0.215 0.529
C7 C 0.421 0.250 0.908
C8 C 0.579 0.750 0.092
Co1 Co 0.250 0.000 0.000
Co2 Co 0.750 0.000 0.000
Tm1 Tm 0.645 0.197 0.512
Tm2 Tm 0.145 0.512 0.197
Tm3 Tm 0.855 0.488 0.803
Tm4 Tm 0.355 0.803 0.488


# Tm4Co2C PBE-GGA optimized geometry
# DOS(E_F)   6.49 states/eV/f.u.
# Electronic total energy   -5.8765 eV per atom
# Total magnetic moment   0.000 μB/f.u.
# Calculated density   8.6 g/cm3
# Space group   No. 139
data_Tm4Co2C
_cell_length_a 4.693
_cell_length_b 4.693
_cell_length_c 7.767
_cell_angle_alpha 72.42
_cell_angle_beta 72.42
_cell_angle_gamma 90.00
_space_group_name_H-M_alt 'P 1'
_space_group_IT_number 1
loop_
_space_group_symop_operation_xyz
'x,y,z'
loop_
_atom_site_label
_atom_site_type_symbol
_atom_site_fract_x
_atom_site_fract_y
_atom_site_fract_z
Tm1 Tm 0.500 0.000 0.000
Tm2 Tm 0.690 0.690 0.620
Tm3 Tm 0.000 0.500 0.000
Tm4 Tm 0.310 0.310 0.380
Co1 Co 0.125 0.125 0.750
Co2 Co 0.875 0.875 0.250
C1 C 0.000 0.000 0.000


# TmCo3C2 PBE-GGA optimized geometry
# DOS(E_F)   3.96 states/eV/f.u.
# Electronic total energy   -7.4417 eV per atom
# Total magnetic moment   0.000 μB/f.u.
# Calculated density   9.5 g/cm3
# Space group   No. 12
data_TmCo3C2
_cell_length_a 3.471
_cell_length_b 6.438
_cell_length_c 6.684
_cell_angle_alpha 114.74
_cell_angle_beta 90.00
_cell_angle_gamma 105.64
_space_group_name_H-M_alt 'P 1'
_space_group_IT_number 1
loop_
_space_group_symop_operation_xyz
'x,y,z'
loop_
_atom_site_label
_atom_site_type_symbol
_atom_site_fract_x
_atom_site_fract_y
_atom_site_fract_z
Tm1 Tm 0.857 0.714 0.947
Tm2 Tm 0.143 0.286 0.053
Co1 Co 0.393 0.785 0.313
Co2 Co 0.692 0.385 0.404
Co3 Co 0.308 0.615 0.596
Co4 Co 0.054 0.108 0.383
Co5 Co 0.607 0.215 0.687
Co6 Co 0.946 0.892 0.617
C1 C 0.816 0.633 0.302
C2 C 0.526 0.052 0.234
C3 C 0.474 0.948 0.766
C4 C 0.184 0.367 0.698


# Tm2Co4C PBE-GGA optimized geometry
# DOS(E_F)   7.97 states/eV/f.u.
# Electronic total energy   -6.7547 eV per atom
# Total magnetic moment   1.595 μB/f.u.
# Calculated density   9.4 g/cm3
# Space group   No. 139
data_Tm2Co4C
_cell_length_a 3.806
_cell_length_b 3.806
_cell_length_c 7.628
_cell_angle_alpha 75.55
_cell_angle_beta 75.55
_cell_angle_gamma 90.00
_space_group_name_H-M_alt 'P 1'
_space_group_IT_number 1
loop_
_space_group_symop_operation_xyz
'x,y,z'
loop_
_atom_site_label
_atom_site_type_symbol
_atom_site_fract_x
_atom_site_fract_y
_atom_site_fract_z
Co1 Co 0.128 0.128 0.745
Co2 Co 0.500 0.000 0.000
Co3 Co 0.872 0.872 0.255
Co4 Co 0.000 0.500 0.000
Tm1 Tm 0.337 0.337 0.327
Tm2 Tm 0.663 0.663 0.673
C1 C 0.000 0.000 0.000


# Tm2Co3C2 PBE-GGA optimized geometry
# DOS(E_F)   6.20 states/eV/f.u.
# Electronic total energy   -7.0109 eV per atom
# Total magnetic moment   0.000 μB/f.u.
# Calculated density   10.4 g/cm3
# Space group   No. 12
data_Tm2Co3C2
_cell_length_a 3.228
_cell_length_b 4.890
_cell_length_c 6.407
_cell_angle_alpha 114.18
_cell_angle_beta 90.00
_cell_angle_gamma 109.27
_space_group_name_H-M_alt 'P 1'
_space_group_IT_number 1
loop_
_space_group_symop_operation_xyz
'x,y,z'
loop_
_atom_site_label
_atom_site_type_symbol
_atom_site_fract_x
_atom_site_fract_y
_atom_site_fract_z
Tm1 Tm 0.130 0.260 0.776
Tm2 Tm 0.870 0.740 0.224
Co1 Co 0.353 0.706 0.586
Co2 Co 0.647 0.294 0.414
Co3 Co 0.500 0.000 0.000
C1 C 0.154 0.309 0.238
C2 C 0.846 0.691 0.762


# TmZn2Co2C PBE-GGA optimized geometry
# DOS(E_F)   5.97 states/eV/f.u.
# Electronic total energy   -5.0486 eV per atom
# Total magnetic moment   0.014 μB/f.u.
# Calculated density   7.9 g/cm3
# Space group   No. 139
data_TmZn2Co2C
_cell_length_a 3.665
_cell_length_b 3.665
_cell_length_c 7.232
_cell_angle_alpha 104.68
_cell_angle_beta 104.68
_cell_angle_gamma 90.00
_space_group_name_H-M_alt 'P 1'
_space_group_IT_number 1
loop_
_space_group_symop_operation_xyz
'x,y,z'
loop_
_atom_site_label
_atom_site_type_symbol
_atom_site_fract_x
_atom_site_fract_y
_atom_site_fract_z
Zn1 Zn 0.250 0.750 0.500
Zn2 Zn 0.750 0.250 0.500
C1 C 0.000 0.000 0.000
Co1 Co 0.126 0.126 0.253
Co2 Co 0.874 0.874 0.747
Tm1 Tm 0.500 0.500 0.000


# UCoC PBE-GGA optimized geometry
# DOS(E_F)   4.07 states/eV/f.u.
# Total magnetic moment   0.041 μB/f.u.
# Calculated density   12.4 g/cm3
# Space group   No. 131
# Relative energy among the computed polymorphs   370 meV per atom
data_UCoC
_cell_length_a 4.859
_cell_length_b 5.847
_cell_length_c 5.847
_cell_angle_alpha 90.00
_cell_angle_beta 90.00
_cell_angle_gamma 90.00
_space_group_name_H-M_alt 'P 1'
_space_group_IT_number 1
loop_
_space_group_symop_operation_xyz
'x,y,z'
loop_
_atom_site_label
_atom_site_type_symbol
_atom_site_fract_x
_atom_site_fract_y
_atom_site_fract_z
U1 U 0.000 0.213 0.500
U2 U 0.500 0.500 0.213
U3 U 0.500 0.500 0.787
U4 U 0.000 0.787 0.500
Co1 Co 0.000 0.235 0.000
Co2 Co 0.000 0.765 0.000
Co3 Co 0.500 0.000 0.765
Co4 Co 0.500 0.000 0.235
C1 C 0.000 0.500 0.776
C2 C 0.500 0.776 0.500
C3 C 0.500 0.224 0.500
C4 C 0.000 0.500 0.224


# U2Co3C2 PBE-GGA optimized geometry
# DOS(E_F)   7.41 states/eV/f.u.
# Electronic total energy   -8.8665 eV per atom
# Total magnetic moment   0.001 μB/f.u.
# Calculated density   13.6 g/cm3
# Space group   No. 12
data_U2Co3C2
_cell_length_a 3.263
_cell_length_b 4.917
_cell_length_c 6.204
_cell_angle_alpha 116.85
_cell_angle_beta 90.00
_cell_angle_gamma 109.38
_space_group_name_H-M_alt 'P 1'
_space_group_IT_number 1
loop_
_space_group_symop_operation_xyz
'x,y,z'
loop_
_atom_site_label
_atom_site_type_symbol
_atom_site_fract_x
_atom_site_fract_y
_atom_site_fract_z
C1 C 0.858 0.716 0.772
C2 C 0.142 0.284 0.228
U1 U 0.161 0.322 0.811
U2 U 0.839 0.678 0.189
Co1 Co 0.500 0.000 0.000
Co2 Co 0.372 0.744 0.552
Co3 Co 0.628 0.256 0.448